Mn5Sn3O12 after structural relaxation. Source: the Alexandria database, functional PBE with a Hubbard U.

Cell lengths 10.829, 10.829, 10.829 Å; angles 109.47, 109.47, 109.47 degrees
Site moments in Bohr magnetons follow the coordinates.
Atoms (fractional coordinates):
1 Mn 0.250 0.875 0.125  4.37
2 Sn 0.625 0.375 0.750  0.06
3 O 0.135 0.420 0.091  -0.04
4 O 0.420 0.135 0.591  -0.04
5 Mn 0.625 0.750 0.875  4.37
6 Sn 0.750 0.375 0.125  0.06
7 Mn 0.250 0.375 0.625  4.37
8 Mn 0.125 0.375 0.250  4.37
9 O 0.214 0.543 0.635  -0.04
10 O 0.091 0.171 0.457  -0.04
11 O 0.043 0.409 0.829  -0.04
12 Mn 0.500 0.500 0.500  4.17
13 O 0.171 0.080 0.714  -0.04
14 Sn 0.875 0.125 0.250  0.06
15 O 0.286 0.420 0.829  -0.04
16 Mn 0.750 0.625 0.375  4.37
17 O 0.591 0.957 0.671  -0.04
18 O 0.865 0.286 0.457  -0.04
19 O 0.329 0.786 0.420  -0.04
20 O 0.920 0.091 0.635  -0.04
21 O 0.457 0.671 0.091  -0.04
22 Mn 0.500 0.500 0.000  4.17
23 O 0.714 0.580 0.171  -0.04
24 Sn 0.125 0.250 0.875  0.06
25 O 0.920 0.829 0.786  -0.04
26 O 0.786 0.329 0.920  -0.04
27 Mn 0.875 0.250 0.625  4.37
28 O 0.829 0.920 0.286  -0.04
29 Mn 0.375 0.250 0.125  4.37
30 Mn 0.750 0.125 0.875  4.37
31 O 0.365 0.957 0.786  -0.04
32 O 0.580 0.714 0.671  -0.04
33 O 0.635 0.043 0.214  -0.04
34 O 0.543 0.329 0.909  -0.04
35 O 0.043 0.635 0.714  -0.04
36 O 0.829 0.909 0.043  -0.04
37 O 0.909 0.829 0.543  -0.04
38 Mn 0.500 0.000 0.000  4.17
39 O 0.786 0.457 0.365  -0.04
40 Sn 0.250 0.125 0.375  0.06
41 O 0.080 0.171 0.214  -0.04
42 Mn 0.000 0.500 0.000  4.17
43 O 0.286 0.865 0.957  -0.04
44 Mn 0.000 0.500 0.500  4.17
45 O 0.329 0.543 0.409  -0.04
46 Mn 0.625 0.875 0.250  4.37
47 Sn 0.875 0.750 0.125  0.06
48 Mn 0.125 0.750 0.375  4.37
49 O 0.957 0.591 0.171  -0.04
50 O 0.135 0.714 0.543  -0.04
51 O 0.714 0.135 0.043  -0.04
52 Mn 0.875 0.625 0.750  4.37
53 Mn 0.000 0.000 0.000  4.17
54 Sn 0.375 0.750 0.625  0.06
55 O 0.671 0.457 0.591  -0.04
56 O 0.457 0.786 0.865  -0.04
57 O 0.909 0.080 0.865  -0.04
58 O 0.580 0.865 0.409  -0.04
59 O 0.214 0.671 0.080  -0.04
60 Sn 0.625 0.250 0.375  0.06
61 O 0.091 0.920 0.135  -0.04
62 O 0.420 0.286 0.329  -0.04
63 O 0.957 0.365 0.286  -0.04
64 O 0.171 0.091 0.957  -0.04
65 Mn 0.375 0.125 0.750  4.37
66 O 0.865 0.580 0.909  -0.04
67 Sn 0.250 0.625 0.875  0.06
68 Mn 0.000 0.000 0.500  4.17
69 O 0.080 0.909 0.365  -0.04
70 O 0.671 0.214 0.580  -0.04
71 O 0.591 0.635 0.420  -0.04
72 O 0.409 0.365 0.580  -0.04
73 O 0.365 0.409 0.080  -0.04
74 Sn 0.125 0.875 0.750  0.06
75 O 0.543 0.214 0.135  -0.04
76 O 0.409 0.043 0.329  -0.04
77 Sn 0.750 0.875 0.625  0.06
78 O 0.635 0.591 0.920  -0.04
79 Mn 0.500 0.000 0.500  4.17
80 Sn 0.375 0.625 0.250  0.06

Values from the calculation:
- space group = Ia-3d, No. 230
- total moment (μB/atom) = 1.1071
- calculated total energy (eV/atom) = -6.8135
- relative energy among the computed polymorphs (meV/atom) = 97.4